No. 1
The following is a GGA-PBE calculation of crystalline Mg2CuTe at its relaxed geometry, from Alexandria.

Results
* D(E_F): 1.47 states/eV per cell
* raw total energy: -2.733 eV/atom
* offset from the most stable computed form: 100.2 meV per atom

Unit cell a=3.890 b=3.890 c=5.938 alpha=90.00 beta=90.00 gamma=90.00
Fractional positions:
Mg (0.000, 0.000, 0.000)
Mg (0.500, 0.500, 0.334)
Cu (0.500, 0.500, 0.897)
Te (0.000, 0.000, 0.507)

No. 2
The following is a GGA-PBE calculation of crystalline Mg2CuTe at its relaxed geometry, from Alexandria.

Results
* D(E_F): 1.19 states/eV per cell
* raw total energy: -2.760 eV/atom
* offset from the most stable computed form: 73.3 meV per atom

Unit cell a=3.699 b=3.699 c=6.016 alpha=90.00 beta=90.00 gamma=90.00
Fractional positions:
Mg (0.000, 0.000, 0.232)
Mg (0.000, 0.000, 0.768)
Cu (0.500, 0.500, 0.000)
Te (0.500, 0.500, 0.500)

No. 3
The following is a GGA-PBE calculation of crystalline Mg2CuTe at its relaxed geometry, from Alexandria.

Results
* D(E_F): 1.27 states/eV per cell
* raw total energy: -2.791 eV/atom
* offset from the most stable computed form: 42.5 meV per atom

Unit cell a=4.212 b=4.212 c=6.433 alpha=107.81 beta=107.81 gamma=58.51
Fractional positions:
Mg (0.239, 0.239, 0.211)
Mg (0.761, 0.761, 0.789)
Cu (0.500, 0.500, 0.000)
Te (0.000, 0.000, 0.500)

No. 4
The following is a GGA-PBE calculation of crystalline Mg2CuTe at its relaxed geometry, from Alexandria.

Results
* D(E_F): 1.44 states/eV per cell
* raw total energy: -2.674 eV/atom
* offset from the most stable computed form: 159.6 meV per atom

Unit cell a=5.838 b=5.838 c=5.838 alpha=139.23 beta=139.23 gamma=59.02
Fractional positions:
Mg (0.000, 0.000, 0.000)
Mg (0.750, 0.250, 0.500)
Cu (0.500, 0.500, 0.000)
Te (0.250, 0.750, 0.500)

What did the fourth record say?
The following is a GGA-PBE calculation of crystalline Mg2CuTe at its relaxed geometry, from Alexandria.

Results
* D(E_F): 1.44 states/eV per cell
* raw total energy: -2.674 eV/atom
* offset from the most stable computed form: 159.6 meV per atom

Unit cell a=5.838 b=5.838 c=5.838 alpha=139.23 beta=139.23 gamma=59.02
Fractional positions:
Mg (0.000, 0.000, 0.000)
Mg (0.750, 0.250, 0.500)
Cu (0.500, 0.500, 0.000)
Te (0.250, 0.750, 0.500)